NaMn2Br6 GGA-PBE optimized geometry; ΔE to the lowest computed polymorph = 25 kJ/mol of formula units; formation energy (no corrections) = -0.85 eV/atom; symmetry = C2/m; DFT total energy = -4.152 eV/atom
1.0
5.5018 0.0000 0.0000
2.7509 6.2406 -0.3363
2.7509 2.2186 8.0587
Na Mn Br
1 2 6
Cartesian
2.7509 4.2296 3.8612
5.5018 6.5785 7.1089
5.5018 1.8806 0.6135
8.2526 6.3164 7.2940
2.7509 2.1427 0.4284
8.2526 5.7184 1.2589
5.5018 5.6390 4.8494
2.7509 2.7407 6.4635
5.5018 2.8202 2.8731